(1)
Compound: ScHRuRh2
Source: Alexandria via LeMat-Bulk
Functional: PBE
Structure: optimized geometry

Summary:
- total moment (μB per formula unit) = 0.0
- excess energy over the best structure of this formula in the dataset (meV/atom) = 0

```
data_ScHRuRh2
_cell_length_a 3.9765
_cell_length_b 3.9765
_cell_length_c 3.9828
_cell_angle_alpha 90.00
_cell_angle_beta 90.00
_cell_angle_gamma 90.00
_symmetry_space_group_name_H-M 'P 4/m m m'
_symmetry_Int_Tables_number 123
_symmetry_space_group_name_Hall '-P 4 2'
loop_
_atom_site_label
_atom_site_type_symbol
_atom_site_fract_x
_atom_site_fract_y
_atom_site_fract_z
_atom_site_occupancy
Sc1 Sc 0.0000 0.0000 0.0000 1
H1 H 0.5000 0.5000 0.5000 1
Ru1 Ru 0.5000 0.5000 0.0000 1
Rh1 Rh 0.0000 0.5000 0.5000 1
```



(2)
Compound: ScHRuRh2
Source: Alexandria via LeMat-Bulk
Functional: PBE
Structure: optimized geometry

Summary:
- total moment (μB per formula unit) = 0.0
- excess energy over the best structure of this formula in the dataset (meV/atom) = 49

```
data_ScHRuRh2
_cell_length_a 3.9079
_cell_length_b 3.9079
_cell_length_c 4.1123
_cell_angle_alpha 90.00
_cell_angle_beta 90.00
_cell_angle_gamma 90.00
_symmetry_space_group_name_H-M 'P 4/m m m'
_symmetry_Int_Tables_number 123
_symmetry_space_group_name_Hall '-P 4 2'
loop_
_atom_site_label
_atom_site_type_symbol
_atom_site_fract_x
_atom_site_fract_y
_atom_site_fract_z
_atom_site_occupancy
Sc1 Sc 0.0000 0.0000 0.0000 1
H1 H 0.0000 0.0000 0.5000 1
Ru1 Ru 0.5000 0.5000 0.0000 1
Rh1 Rh 0.0000 0.5000 0.5000 1
```



(3)
Compound: ScHRu2Rh
Source: Alexandria via LeMat-Bulk
Functional: PBE
Structure: optimized geometry

Summary:
- total moment (μB per formula unit) = 0.0
- total energy (eV/cell) = -36.90

```
data_ScHRu2Rh
_cell_length_a 3.8798
_cell_length_b 3.8798
_cell_length_c 4.1812
_cell_angle_alpha 90.00
_cell_angle_beta 90.00
_cell_angle_gamma 90.00
_symmetry_space_group_name_H-M 'P 4/m m m'
_symmetry_Int_Tables_number 123
_symmetry_space_group_name_Hall '-P 4 2'
loop_
_atom_site_label
_atom_site_type_symbol
_atom_site_fract_x
_atom_site_fract_y
_atom_site_fract_z
_atom_site_occupancy
Sc1 Sc 0.0000 0.0000 0.0000 1
H1 H 0.0000 0.0000 0.5000 1
Ru1 Ru 0.0000 0.5000 0.5000 1
Rh1 Rh 0.5000 0.5000 0.0000 1
```



(4)
Compound: ScHRu2Rh
Source: Alexandria via LeMat-Bulk
Functional: PBE
Structure: optimized geometry

Summary:
- total moment (μB per formula unit) = 0.0
- total energy (eV/cell) = -36.91

```
data_ScHRu2Rh
_cell_length_a 3.9313
_cell_length_b 3.9313
_cell_length_c 4.0755
_cell_angle_alpha 90.00
_cell_angle_beta 90.00
_cell_angle_gamma 90.00
_symmetry_space_group_name_H-M 'P 4/m m m'
_symmetry_Int_Tables_number 123
_symmetry_space_group_name_Hall '-P 4 2'
loop_
_atom_site_label
_atom_site_type_symbol
_atom_site_fract_x
_atom_site_fract_y
_atom_site_fract_z
_atom_site_occupancy
Sc1 Sc 0.0000 0.0000 0.0000 1
H1 H 0.5000 0.5000 0.5000 1
Ru1 Ru 0.0000 0.5000 0.5000 1
Rh1 Rh 0.5000 0.5000 0.0000 1
```